Model 1:
# TmLuNi

A relaxed structure of TmLuNi (PBE, Alexandria via LeMat-Bulk).

It has space group I4mm (No. 107), with a = 3.337 Å, b = 3.337 Å, c = 12.151 Å, α = 90.00°, β = 90.00° and γ = 90.00°. The distinct sites, in fractional coordinates, are Tm at (0.000, 0.000, 0.000), Lu at (0.000, 0.000, 0.736) and Ni at (0.000, 0.000, 0.366).

Model 2:
# TmLuNi

A relaxed structure of TmLuNi (PBE, Alexandria via LeMat-Bulk).

It has space group F-43m (No. 216), with a = 6.583 Å, b = 6.583 Å, c = 6.583 Å, α = 90.00°, β = 90.00° and γ = 90.00°. The distinct sites, in fractional coordinates, are Tm at (0.000, 0.000, 0.000), Lu at (0.000, 0.000, 0.500) and Ni at (0.250, 0.250, 0.250).

Quick one: least stable of them? model 2

Model 1:
# TmLu2Ni

A relaxed structure of TmLu2Ni (PBE, Alexandria via LeMat-Bulk).

It has space group R-3m (No. 166, hexagonal axes), with a = 3.6100 Å, b = 3.6100 Å, c = 27.5127 Å, α = 90.00°, β = 90.00° and γ = 120.00°. The distinct sites, in fractional coordinates, are Tm at (0.0000, 0.0000, 0.0000), Lu at (0.0000, 0.0000, 0.2269) and Ni at (0.0000, 0.0000, 0.5000).

Model 2:
# TmLu2Ni

A relaxed structure of TmLu2Ni (PBE, Alexandria via LeMat-Bulk).

It has space group P4/mmm (No. 123), with a = 3.365 Å, b = 3.365 Å, c = 8.469 Å, α = 90.00°, β = 90.00° and γ = 90.00°. The distinct sites, in fractional coordinates, are Tm at (0.000, 0.000, 0.000), Lu at (0.500, 0.500, 0.312) and Ni at (0.000, 0.000, 0.500).

Quick one: least stable of them? model 1

Model 1:
# Y2LuNi

A relaxed structure of Y2LuNi (PBE, Alexandria via LeMat-Bulk).

It has space group P4/mmm (No. 123), with a = 3.462 Å, b = 3.462 Å, c = 8.484 Å, α = 90.00°, β = 90.00° and γ = 90.00°. The distinct sites, in fractional coordinates, are Y at (0.000, 0.000, 0.192), Lu at (0.500, 0.500, 0.500) and Ni at (0.500, 0.500, 0.000).

Model 2:
# Y2LuNi

A relaxed structure of Y2LuNi (PBE, Alexandria via LeMat-Bulk).

It has space group R-3m (No. 166, hexagonal axes), with a = 3.5690 Å, b = 3.5690 Å, c = 30.7357 Å, α = 90.00°, β = 90.00° and γ = 120.00°. The distinct sites, in fractional coordinates, are Y at (0.0000, 0.0000, 0.1095), Lu at (0.0000, 0.0000, 0.0000) and Ni at (0.0000, 0.0000, 0.5000).

Quick one: least stable of them? model 2

Model 1:
# LuZrNi2

A relaxed structure of LuZrNi2 (PBE, Alexandria via LeMat-Bulk).

It has space group P4/mmm (No. 123), with a = 3.267 Å, b = 3.267 Å, c = 6.557 Å, α = 90.00°, β = 90.00° and γ = 90.00°. The distinct sites, in fractional coordinates, are Lu at (0.000, 0.000, 0.000), Zr at (0.000, 0.000, 0.500) and Ni at (0.500, 0.500, 0.278).

Model 2:
# LuZrNi2

A relaxed structure of LuZrNi2 (PBE, Alexandria via LeMat-Bulk).

It has space group Fm-3m (No. 225), with a = 6.510 Å, b = 6.510 Å, c = 6.510 Å, α = 90.00°, β = 90.00° and γ = 90.00°. The distinct sites, in fractional coordinates, are Lu at (0.000, 0.000, 0.000), Zr at (0.000, 0.000, 0.500) and Ni at (0.250, 0.250, 0.250).

Quick one: least stable of them? model 2

Model 1:
# LuNpPb2

A relaxed structure of LuNpPb2 (PBE, Alexandria via LeMat-Bulk).

It has space group P4/mmm (No. 123), with a = 3.454 Å, b = 3.454 Å, c = 9.108 Å, α = 90.00°, β = 90.00° and γ = 90.00°. The distinct sites, in fractional coordinates, are Lu at (0.000, 0.000, 0.000), Np at (0.000, 0.000, 0.500) and Pb at (0.500, 0.500, 0.243).

Model 2:
# LuNpPb2

A relaxed structure of LuNpPb2 (PBE, Alexandria via LeMat-Bulk).

It has space group P4/mmm (No. 123), with a = 4.978 Å, b = 4.978 Å, c = 4.434 Å, α = 90.00°, β = 90.00° and γ = 90.00°. The distinct sites, in fractional coordinates, are Lu at (0.000, 0.000, 0.000), Np at (0.500, 0.500, 0.000) and Pb at (0.000, 0.500, 0.500).

Model 3:
# LuNpPb2

A relaxed structure of LuNpPb2 (PBE, Alexandria via LeMat-Bulk).

It has space group R-3m (No. 166, hexagonal axes), with a = 3.3697 Å, b = 3.3697 Å, c = 35.9626 Å, α = 90.00°, β = 90.00° and γ = 120.00°. The distinct sites, in fractional coordinates, are Lu at (0.0000, 0.0000, 0.0000), Np at (0.0000, 0.0000, 0.5000) and Pb at (0.0000, 0.0000, 0.0867).

Quick one: least stable of them? model 3

Model 1:
# LuNpPt2

A relaxed structure of LuNpPt2 (PBE, Alexandria via LeMat-Bulk).

It has space group R-3m (No. 166, hexagonal axes), with a = 4.0773 Å, b = 4.0773 Å, c = 19.2176 Å, α = 90.00°, β = 90.00° and γ = 120.00°. The distinct sites, in fractional coordinates, are Lu at (0.0000, 0.0000, 0.0000), Np at (0.0000, 0.0000, 0.5000) and Pt at (0.0000, 0.0000, 0.2491).

Model 2:
# LuNpPt2

A relaxed structure of LuNpPt2 (PBE, Alexandria via LeMat-Bulk).

It has space group Fm-3m (No. 225), with a = 6.934 Å, b = 6.934 Å, c = 6.934 Å, α = 90.00°, β = 90.00° and γ = 90.00°. The distinct sites, in fractional coordinates, are Lu at (0.000, 0.000, 0.000), Np at (0.000, 0.000, 0.500) and Pt at (0.250, 0.250, 0.250).

Quick one: least stable of them? model 1

Model 1:
# LuNpRh2

A relaxed structure of LuNpRh2 (PBE, Alexandria via LeMat-Bulk).

It has space group Fm-3m (No. 225), with a = 6.773 Å, b = 6.773 Å, c = 6.773 Å, α = 90.00°, β = 90.00° and γ = 90.00°. The distinct sites, in fractional coordinates, are Lu at (0.000, 0.000, 0.000), Np at (0.000, 0.000, 0.500) and Rh at (0.250, 0.250, 0.250).

Model 2:
# LuNpRh2

A relaxed structure of LuNpRh2 (PBE, Alexandria via LeMat-Bulk).

It has space group R-3m (No. 166, hexagonal axes), with a = 3.9478 Å, b = 3.9478 Å, c = 19.0268 Å, α = 90.00°, β = 90.00° and γ = 120.00°. The distinct sites, in fractional coordinates, are Lu at (0.0000, 0.0000, 0.0000), Np at (0.0000, 0.0000, 0.5000) and Rh at (0.0000, 0.0000, 0.2444).

Model 3:
# LuNpRh2

A relaxed structure of LuNpRh2 (PBE, Alexandria via LeMat-Bulk).

It has space group P4/mmm (No. 123), with a = 4.817 Å, b = 4.817 Å, c = 3.345 Å, α = 90.00°, β = 90.00° and γ = 90.00°. The distinct sites, in fractional coordinates, are Lu at (0.000, 0.000, 0.000), Np at (0.500, 0.500, 0.000) and Rh at (0.000, 0.500, 0.500).

Quick one: least stable of them? model 2

Model 1:
# LuNpSc

A relaxed structure of LuNpSc (PBE, Alexandria via LeMat-Bulk).

It has space group P3m1 (No. 156), with a = 3.2419 Å, b = 3.2419 Å, c = 8.2672 Å, α = 90.00°, β = 90.00° and γ = 120.00°. The distinct sites, in fractional coordinates, are Lu at (0.0000, 0.0000, 0.0000), Np at (0.6667, 0.3333, 0.3380) and Sc at (0.3333, 0.6667, 0.6572).

Model 2:
# LuNpSc

A relaxed structure of LuNpSc (PBE, Alexandria via LeMat-Bulk).

It has space group I4mm (No. 107), with a = 3.240 Å, b = 3.240 Å, c = 14.496 Å, α = 90.00°, β = 90.00° and γ = 90.00°. The distinct sites, in fractional coordinates, are Lu at (0.000, 0.000, 0.000), Np at (0.000, 0.000, 0.668) and Sc at (0.000, 0.000, 0.324).

Quick one: least stable of them? model 2

Model 1:
# LuNpTc2

A relaxed structure of LuNpTc2 (PBE, Alexandria via LeMat-Bulk).

It has space group P4/mmm (No. 123), with a = 4.754 Å, b = 4.754 Å, c = 3.316 Å, α = 90.00°, β = 90.00° and γ = 90.00°. The distinct sites, in fractional coordinates, are Lu at (0.000, 0.000, 0.000), Np at (0.500, 0.500, 0.000) and Tc at (0.000, 0.500, 0.500).

Model 2:
# LuNpTc2

A relaxed structure of LuNpTc2 (PBE, Alexandria via LeMat-Bulk).

It has space group P4/mmm (No. 123), with a = 3.335 Å, b = 3.335 Å, c = 6.824 Å, α = 90.00°, β = 90.00° and γ = 90.00°. The distinct sites, in fractional coordinates, are Lu at (0.000, 0.000, 0.000), Np at (0.000, 0.000, 0.500) and Tc at (0.500, 0.500, 0.284).

Quick one: least stable of them? model 1

Model 1:
# LuTh2Np

A relaxed structure of LuTh2Np (PBE, Alexandria via LeMat-Bulk).

It has space group P4/mmm (No. 123), with a = 3.484 Å, b = 3.484 Å, c = 9.605 Å, α = 90.00°, β = 90.00° and γ = 90.00°. The distinct sites, in fractional coordinates, are Lu at (0.000, 0.000, 0.000), Th at (0.500, 0.500, 0.262) and Np at (0.000, 0.000, 0.500).

Model 2:
# LuTh2Np

A relaxed structure of LuTh2Np (PBE, Alexandria via LeMat-Bulk).

It has space group R-3m (No. 166, hexagonal axes), with a = 5.4617 Å, b = 5.4617 Å, c = 13.6351 Å, α = 90.00°, β = 90.00° and γ = 120.00°. The distinct sites, in fractional coordinates, are Lu at (0.0000, 0.0000, 0.0000), Th at (0.0000, 0.0000, 0.2423) and Np at (0.0000, 0.0000, 0.5000).

Quick one: least stable of them? model 2

Model 1:
# LuZr2Np

A relaxed structure of LuZr2Np (PBE, Alexandria via LeMat-Bulk).

It has space group P4/mmm (No. 123), with a = 3.741 Å, b = 3.741 Å, c = 7.031 Å, α = 90.00°, β = 90.00° and γ = 90.00°. The distinct sites, in fractional coordinates, are Lu at (0.000, 0.000, 0.000), Zr at (0.500, 0.500, 0.287) and Np at (0.000, 0.000, 0.500).

Model 2:
# LuZr2Np

A relaxed structure of LuZr2Np (PBE, Alexandria via LeMat-Bulk).

It has space group R-3m (No. 166, hexagonal axes), with a = 5.0570 Å, b = 5.0570 Å, c = 13.5431 Å, α = 90.00°, β = 90.00° and γ = 120.00°. The distinct sites, in fractional coordinates, are Lu at (0.0000, 0.0000, 0.0000), Zr at (0.0000, 0.0000, 0.2279) and Np at (0.0000, 0.0000, 0.5000).

Quick one: least stable of them? model 2